1.
! NaTlGa2C PBE optimized geometry; values from VASP
! final energy	-16.07	eV for the cell shown
! total magnetic moment	0.00	Bohr magnetons per cell
! Fermi-level density of states	2.2	states/eV/f.u.
! SG	No. 123
! formation energy	578	meV per atom
&SYSTEM
  ibrav = 0, nat = 5, ntyp = 4
/
ATOMIC_SPECIES
Na 22.99 Na.upf
Tl 204.38 Tl.upf
Ga 69.72 Ga.upf
C 12.01 C.upf
CELL_PARAMETERS angstrom
4.382 0.000 0.000
0.000 4.382 0.000
0.000 0.000 5.018
ATOMIC_POSITIONS crystal
Na 0.000 0.000 0.000
Tl 0.500 0.500 0.000
Ga 0.000 0.500 0.500
Ga 0.500 0.000 0.500
C 0.000 0.000 0.500

***

2.
! NaYGaC2 PBE optimized geometry; values from VASP
! final energy	-20.19	eV for the cell shown
! total magnetic moment	0.00	Bohr magnetons per cell
! Fermi-level density of states	2.8	states/eV/f.u.
! SG	No. 123
! formation energy	1813	meV per atom
&SYSTEM
  ibrav = 0, nat = 5, ntyp = 4
/
ATOMIC_SPECIES
Na 22.99 Na.upf
Y 88.91 Y.upf
Ga 69.72 Ga.upf
C 12.01 C.upf
CELL_PARAMETERS angstrom
4.506 0.000 0.000
0.000 4.506 0.000
0.000 0.000 5.755
ATOMIC_POSITIONS crystal
Na 0.000 0.000 0.000
Y 0.000 0.000 0.500
Ga 0.500 0.500 0.000
C 0.000 0.500 0.500
C 0.500 0.000 0.500

***

3.
! Na2ZnGaC PBE optimized geometry; values from VASP
! final energy	-13.38	eV for the cell shown
! total magnetic moment	0.00	Bohr magnetons per cell
! Fermi-level density of states	3.6	states/eV/f.u.
! SG	No. 123
! formation energy	556	meV per atom
&SYSTEM
  ibrav = 0, nat = 5, ntyp = 4
/
ATOMIC_SPECIES
Na 22.99 Na.upf
Zn 65.41 Zn.upf
Ga 69.72 Ga.upf
C 12.01 C.upf
CELL_PARAMETERS angstrom
5.138 0.000 0.000
0.000 5.138 0.000
0.000 0.000 3.802
ATOMIC_POSITIONS crystal
Na 0.000 0.500 0.000
Na 0.500 0.000 0.000
Zn 0.000 0.000 0.500
Ga 0.500 0.500 0.500
C 0.000 0.000 0.000

***

4.
! Nb2GaC PBE optimized geometry; values from VASP
! final energy	-64.25	eV for the cell shown
! total magnetic moment	0.00	Bohr magnetons per cell
! Fermi-level density of states	2.9	states/eV/f.u.
! SG	No. 122
! formation energy	67	meV per atom
&SYSTEM
  ibrav = 0, nat = 8, ntyp = 3
/
ATOMIC_SPECIES
Nb 92.91 Nb.upf
Ga 69.72 Ga.upf
C 12.01 C.upf
CELL_PARAMETERS angstrom
-3.205 3.205 2.958
3.205 -3.205 2.958
3.205 3.205 -2.958
ATOMIC_POSITIONS crystal
Nb 0.062 0.125 0.437
Nb 0.375 0.938 0.063
Nb 0.688 0.625 0.563
Nb 0.875 0.312 0.937
Ga 0.250 0.750 0.500
Ga 0.500 0.500 0.000
C 0.000 0.000 0.000
C 0.750 0.250 0.500

***

5.
! Nb3GaC PBE optimized geometry; values from VASP
! final energy	-86.90	eV for the cell shown
! total magnetic moment	0.00	Bohr magnetons per cell
! Fermi-level density of states	2.7	states/eV/f.u.
! SG	No. 59
! formation energy	-198	meV per atom
&SYSTEM
  ibrav = 0, nat = 10, ntyp = 3
/
ATOMIC_SPECIES
Nb 92.91 Nb.upf
Ga 69.72 Ga.upf
C 12.01 C.upf
CELL_PARAMETERS angstrom
3.468 0.000 0.000
0.000 5.651 0.000
0.000 0.000 7.856
ATOMIC_POSITIONS crystal
Nb 0.250 0.002 0.147
Nb 0.250 0.498 0.147
Nb 0.250 0.750 0.595
Nb 0.750 0.250 0.405
Nb 0.750 0.502 0.853
Nb 0.750 0.998 0.853
Ga 0.250 0.250 0.654
Ga 0.750 0.750 0.346
C 0.250 0.750 0.903
C 0.750 0.250 0.097

***

6.
! NbGaC2 PBE optimized geometry; values from VASP
! final energy	-59.88	eV for the cell shown
! total magnetic moment	0.00	Bohr magnetons per cell
! Fermi-level density of states	0.0	states/eV/f.u.
! SG	No. 122
! formation energy	401	meV per atom
&SYSTEM
  ibrav = 0, nat = 8, ntyp = 3
/
ATOMIC_SPECIES
Nb 92.91 Nb.upf
Ga 69.72 Ga.upf
C 12.01 C.upf
CELL_PARAMETERS angstrom
-2.402 2.402 4.787
2.402 -2.402 4.787
2.402 2.402 -4.787
ATOMIC_POSITIONS crystal
Nb 0.000 0.000 0.000
Nb 0.750 0.250 0.500
Ga 0.250 0.750 0.500
Ga 0.500 0.500 0.000
C 0.123 0.625 0.998
C 0.375 0.373 0.498
C 0.627 0.125 0.002
C 0.875 0.877 0.502

***

7.
! Nb2GaC PBE optimized geometry; values from VASP
! final energy	-29.58	eV for the cell shown
! total magnetic moment	0.00	Bohr magnetons per cell
! Fermi-level density of states	4.3	states/eV/f.u.
! SG	No. 225
! formation energy	701	meV per atom
&SYSTEM
  ibrav = 0, nat = 4, ntyp = 3
/
ATOMIC_SPECIES
Nb 92.91 Nb.upf
Ga 69.72 Ga.upf
C 12.01 C.upf
CELL_PARAMETERS angstrom
0.000 3.051 3.051
3.051 0.000 3.051
3.051 3.051 0.000
ATOMIC_POSITIONS crystal
Nb 0.250 0.250 0.250
Nb 0.750 0.750 0.750
Ga 0.000 0.000 0.000
C 0.500 0.500 0.500

***

8.
! Nb5GaC PBE optimized geometry; values from VASP
! final energy	-128.27	eV for the cell shown
! total magnetic moment	0.00	Bohr magnetons per cell
! Fermi-level density of states	4.0	states/eV/f.u.
! SG	No. 15
! formation energy	-219	meV per atom
&SYSTEM
  ibrav = 0, nat = 14, ntyp = 3
/
ATOMIC_SPECIES
Nb 92.91 Nb.upf
Ga 69.72 Ga.upf
C 12.01 C.upf
CELL_PARAMETERS angstrom
3.718 -3.970 0.000
3.718 3.970 0.000
-1.372 0.000 7.776
ATOMIC_POSITIONS crystal
Nb 0.106 0.641 0.367
Nb 0.116 0.884 0.750
Nb 0.182 0.357 0.973
Nb 0.357 0.182 0.473
Nb 0.359 0.894 0.133
Nb 0.641 0.106 0.867
Nb 0.643 0.818 0.527
Nb 0.818 0.643 0.027
Nb 0.884 0.116 0.250
Nb 0.894 0.359 0.633
Ga 0.456 0.544 0.750
Ga 0.544 0.456 0.250
C 0.000 0.000 0.000
C 0.000 0.000 0.500

***

9.
! Nb3GaC PBE optimized geometry; values from VASP
! final energy	-89.91	eV for the cell shown
! total magnetic moment	0.00	Bohr magnetons per cell
! Fermi-level density of states	2.0	states/eV/f.u.
! SG	No. 63
! formation energy	-499	meV per atom
&SYSTEM
  ibrav = 0, nat = 10, ntyp = 3
/
ATOMIC_SPECIES
Nb 92.91 Nb.upf
Ga 69.72 Ga.upf
C 12.01 C.upf
CELL_PARAMETERS angstrom
1.647 -5.419 0.000
1.647 5.419 0.000
0.000 0.000 8.483
ATOMIC_POSITIONS crystal
Nb 0.049 0.951 0.750
Nb 0.369 0.631 0.550
Nb 0.369 0.631 0.950
Nb 0.631 0.369 0.050
Nb 0.631 0.369 0.450
Nb 0.951 0.049 0.250
Ga 0.255 0.745 0.250
Ga 0.745 0.255 0.750
C 0.000 0.000 0.000
C 0.000 0.000 0.500

***

10.
! Nb6Ga2C PBE optimized geometry; values from VASP
! final energy	-155.62	eV for the cell shown
! total magnetic moment	0.00	Bohr magnetons per cell
! Fermi-level density of states	6.5	states/eV/f.u.
! SG	No. 14
! formation energy	-235	meV per atom
&SYSTEM
  ibrav = 0, nat = 18, ntyp = 3
/
ATOMIC_SPECIES
Nb 92.91 Nb.upf
Ga 69.72 Ga.upf
C 12.01 C.upf
CELL_PARAMETERS angstrom
5.469 0.000 0.000
0.000 6.612 0.000
-5.321 0.000 8.270
ATOMIC_POSITIONS crystal
Nb 0.113 0.169 0.459
Nb 0.113 0.331 0.959
Nb 0.301 0.699 0.453
Nb 0.301 0.801 0.953
Nb 0.338 0.007 0.237
Nb 0.338 0.493 0.737
Nb 0.662 0.507 0.263
Nb 0.662 0.993 0.763
Nb 0.699 0.199 0.047
Nb 0.699 0.301 0.547
Nb 0.887 0.669 0.041
Nb 0.887 0.831 0.541
Ga 0.188 0.111 0.758
Ga 0.188 0.389 0.258
Ga 0.812 0.611 0.742
Ga 0.812 0.889 0.242
C 0.500 0.000 0.500
C 0.500 0.500 0.000

***

11.
! NbGaC3 PBE optimized geometry; values from VASP
! final energy	-29.34	eV for the cell shown
! total magnetic moment	0.00	Bohr magnetons per cell
! Fermi-level density of states	3.4	states/eV/f.u.
! excess energy over the best structure of this formula in the dataset	1.941	eV per formula unit
! SG	No. 221
! formation energy	2286	meV per atom
&SYSTEM
  ibrav = 0, nat = 5, ntyp = 3
/
ATOMIC_SPECIES
Nb 92.91 Nb.upf
Ga 69.72 Ga.upf
C 12.01 C.upf
CELL_PARAMETERS angstrom
3.872 0.000 0.000
0.000 3.872 0.000
0.000 0.000 3.872
ATOMIC_POSITIONS crystal
Nb 0.000 0.000 0.000
Ga 0.500 0.500 0.500
C 0.000 0.500 0.500
C 0.500 0.000 0.500
C 0.500 0.500 0.000

***

12.
! Nb2GaC PBE optimized geometry; values from VASP
! final energy	-34.20	eV for the cell shown
! total magnetic moment	0.00	Bohr magnetons per cell
! Fermi-level density of states	2.0	states/eV/f.u.
! SG	No. 12
! formation energy	-452	meV per atom
&SYSTEM
  ibrav = 0, nat = 4, ntyp = 3
/
ATOMIC_SPECIES
Nb 92.91 Nb.upf
Ga 69.72 Ga.upf
C 12.01 C.upf
CELL_PARAMETERS angstrom
2.738 -1.584 0.000
2.738 1.584 0.000
-1.787 0.000 6.874
ATOMIC_POSITIONS crystal
Nb 0.223 0.223 0.175
Nb 0.777 0.777 0.825
Ga 0.000 0.000 0.500
C 0.500 0.500 0.000